No. 1
PBE TeRhW2, optimized geometry; crystal system = trigonal; raw formation energy = 0.56 eV per atom; E_tot = -8.536 eV/atom
1.0
1.4988 0.8654 8.7891
-1.4988 0.8654 8.7891
0.0000 -1.7307 8.7891
Te Rh W
1 1 2
Cartesian
0.0000 0.0000 0.0000
0.0000 0.0000 13.1836
0.0000 0.0000 6.5331
0.0000 0.0000 19.8341

No. 2
PBE Li4SmCd, optimized geometry; formation enthalpy at 0 K = -0.07 eV/atom; crystal system = cubic; E_tot = -2.285 eV/atom
1.0
0.0000 3.9322 3.9322
3.9322 0.0000 3.9322
3.9322 3.9322 0.0000
Li Sm Cd
4 1 1
Cartesian
2.9644 2.9644 2.9644
4.9000 4.9000 2.9644
4.9000 2.9644 4.9000
2.9644 4.9000 4.9000
0.0000 0.0000 0.0000
5.8983 5.8983 5.8983

No. 3
PBE RbTl3Rh, optimized geometry; formation enthalpy at 0 K = 0.04 eV/atom; crystal system = monoclinic; ΔE to the lowest computed polymorph = 106 meV per atom; E_tot = -3.041 eV/atom
1.0
8.6715 -1.9412 0.0000
8.6715 1.9412 0.0000
-1.0602 0.0000 9.7293
Rb Tl Rh
2 6 2
Cartesian
2.1404 0.0000 0.5583
14.1424 0.0000 9.1710
-0.4320 0.0000 6.5914
2.7010 0.0000 4.1114
5.4823 0.0000 2.5097
10.8004 0.0000 7.2195
13.5818 0.0000 5.6179
16.7148 0.0000 3.1378
6.7739 0.0000 5.0106
9.5089 0.0000 4.7186

No. 4
PBE Mg2ZnNi2, optimized geometry; formation enthalpy at 0 K = 0.25 eV/atom; crystal system = tetragonal; E_tot = -2.957 eV/atom
1.0
-1.9238 1.9238 5.6152
1.9238 -1.9238 5.6152
1.9238 1.9238 -5.6152
Mg Zn Ni
2 1 2
Cartesian
1.9238 0.0000 2.8076
0.0000 1.9238 2.8076
0.0000 0.0000 0.0000
0.0000 0.0000 4.5052
0.0000 0.0000 6.7251

No. 5
PBE DyBe17Mo, optimized geometry; formation enthalpy at 0 K = -0.12 eV/atom; crystal system = trigonal; E_tot = -4.271 eV/atom
1.0
3.7427 2.1608 3.6377
-3.7427 2.1608 3.6377
0.0000 -4.3217 3.6377
Dy Be Mo
1 17 1
Cartesian
0.0000 0.0000 0.0000
0.0000 -2.1066 1.8795
-1.8244 1.0533 1.8795
-1.8599 -1.0738 5.3807
0.0000 -2.1346 5.3084
-1.8486 1.0673 5.3084
-1.0525 -1.8862 7.2160
-2.1598 0.0316 7.2160
1.8244 1.0533 1.8795
0.0000 0.0000 6.1044
1.0525 -1.8862 7.2160
-1.1073 1.8546 7.2160
1.8599 -1.0738 5.3807
0.0000 2.1476 5.3807
0.0000 0.0000 8.2120
1.8486 1.0673 5.3084
2.1598 0.0316 7.2160
1.1073 1.8546 7.2160
0.0000 0.0000 3.5429

No. 6
PBE Ce2Si3, optimized geometry; crystal system = orthorhombic; ΔE to the lowest computed polymorph = 92 meV per atom; raw formation energy = -0.58 eV per atom; E_tot = -6.205 eV/atom
1.0
-1.9610 2.0722 6.9755
1.9610 -2.0722 6.9755
1.9610 2.0722 -6.9755
Ce Si
2 3
Cartesian
0.0000 0.0000 0.0000
0.0000 2.0722 3.5208
1.9610 0.0000 2.2921
1.9610 0.0000 4.6280
0.0000 0.0000 5.9442

No. 7
PBE Rb3Ce2ErS6, optimized geometry; crystal system = monoclinic; raw formation energy = -1.79 eV per atom; E_tot = -5.462 eV/atom
1.0
3.6235 -6.2759 0.0000
3.6235 6.2759 0.0000
-2.4170 0.0000 7.6747
Rb Ce Er S
3 2 1 6
Cartesian
0.0000 0.0000 0.0000
3.6235 2.1015 0.0000
3.6235 -2.1015 0.0000
2.4149 4.1847 3.8373
2.4149 -4.1847 3.8373
2.4149 0.0000 3.8373
1.2443 2.0280 2.3502
0.0735 0.0000 5.3259
1.2443 -2.0280 2.3502
3.5856 2.0280 5.3245
4.7564 0.0000 2.3488
3.5856 -2.0280 5.3245

No. 8
PBE Os2C, optimized geometry; formation enthalpy at 0 K = 0.78 eV/atom; crystal system = orthorhombic; ΔE to the lowest computed polymorph = 276 meV per atom; E_tot = -9.781 eV/atom
1.0
1.4072 -5.8266 0.0000
1.4072 5.8266 0.0000
0.0000 0.0000 4.2609
Os C
4 2
Cartesian
1.4072 5.0287 3.1957
1.4072 1.7477 3.1957
1.4072 -1.7477 1.0652
1.4072 -5.0287 1.0652
1.4072 2.3752 1.0652
1.4072 -2.3752 3.1957

No. 9
PBE Na4Hg5Au, optimized geometry; formation enthalpy at 0 K = -0.22 eV/atom; crystal system = monoclinic; E_tot = -1.228 eV/atom
1.0
8.4100 -2.4694 0.0000
8.4100 2.4694 0.0000
-2.3550 0.0000 5.9362
Na Hg Au
4 5 1
Cartesian
0.5583 0.0000 2.2914
4.7135 0.0000 1.2492
9.7516 0.0000 4.6870
13.9067 0.0000 3.6447
-0.3351 0.0000 5.4194
3.3116 0.0000 4.1110
8.4100 0.0000 0.0000
11.1534 0.0000 1.8251
14.8001 0.0000 0.5168
7.2325 0.0000 2.9681

No. 10
PBE Pr7DyY2, optimized geometry; formation enthalpy at 0 K = 0.63 eV/atom; crystal system = orthorhombic; ΔE to the lowest computed polymorph = 258 meV per atom; E_tot = -4.466 eV/atom
1.0
4.3720 -8.7214 0.0000
4.3720 8.7214 0.0000
0.0000 0.0000 5.5591
Pr Dy Y
7 1 2
Cartesian
0.0000 0.0000 0.0000
2.7976 1.9046 0.0000
4.3720 3.5597 2.7796
2.7976 -1.9046 0.0000
5.9463 1.9046 0.0000
4.3720 -3.5597 2.7796
5.9463 -1.9046 0.0000
4.3720 0.0000 2.7796
4.3720 5.0890 0.0000
4.3720 -5.0890 0.0000

No. 11
PBE Cs2PCl, optimized geometry; crystal system = cubic; ΔE to the lowest computed polymorph = 0 meV per atom; raw formation energy = -0.59 eV per atom; E_tot = -2.830 eV/atom
1.0
0.0000 4.3183 4.3183
4.3183 0.0000 4.3183
4.3183 4.3183 0.0000
Cs P Cl
2 1 1
Cartesian
2.1592 2.1592 2.1592
6.4775 6.4775 6.4775
0.0000 0.0000 0.0000
4.3183 4.3183 4.3183

No. 12
PBE ZrPb2Br, optimized geometry; crystal system = tetragonal; ΔE to the lowest computed polymorph = 102 meV per atom; raw formation energy = -0.24 eV per atom; E_tot = -4.649 eV/atom
1.0
3.5400 0.0000 0.0000
0.0000 3.5400 0.0000
0.0000 0.0000 8.7574
Zr Pb Br
1 2 1
Cartesian
0.0000 0.0000 0.0000
0.0000 0.0000 4.6322
1.7700 1.7700 6.7820
1.7700 1.7700 1.5681

Number 1: density of states at the Fermi level 2.5 states/eV per cell. Number 2: density of states at the Fermi level 3.5 states/eV per cell. Number 3: density of states at the Fermi level 8.3 states/eV per cell. Number 4: density of states at the Fermi level 2.5 states/eV per cell. Number 5: density of states at the Fermi level 2.5 states/eV per cell. Number 6: density of states at the Fermi level 8.7 states/eV per cell. Number 7: density of states at the Fermi level 11.8 states/eV per cell. Number 8: density of states at the Fermi level 4.1 states/eV per cell. Number 9: density of states at the Fermi level 2.6 states/eV per cell. Number 10: density of states at the Fermi level 16.2 states/eV per cell. Number 11: density of states at the Fermi level 9.0 states/eV per cell. Number 12: density of states at the Fermi level 2.2 states/eV per cell.